Entry 1:
# PBE BaNiRh2, optimized geometry
data_BaNiRh2
_chemical_formula_sum 'Ba1 Ni1 Rh2'
_symmetry_space_group_name_H-M 'P 4/m m m'
_symmetry_Int_Tables_number 123
_symmetry_space_group_name_Hall '-P 4 2'
_cell_length_a 4.1719
_cell_length_b 4.1719
_cell_length_c 4.3460
_cell_angle_alpha 90.00
_cell_angle_beta 90.00
_cell_angle_gamma 90.00
loop_
_atom_site_label
_atom_site_type_symbol
_atom_site_fract_x
_atom_site_fract_y
_atom_site_fract_z
Ba1 Ba 0.0000 0.0000 0.0000
Ni1 Ni 0.5000 0.5000 0.0000
Rh1 Rh 0.0000 0.5000 0.5000
# Theoretical density = 8.82 g/cm3
# E_form = 0.543 eV/atom

Entry 2:
# PBE FeGeAs3, optimized geometry
data_FeGeAs3
_chemical_formula_sum 'Fe1 Ge1 As3'
_symmetry_space_group_name_H-M 'P m -3 m'
_symmetry_Int_Tables_number 221
_symmetry_space_group_name_Hall '-P 4 2 3'
_cell_length_a 4.5992
_cell_length_b 4.5992
_cell_length_c 4.5992
_cell_angle_alpha 90.00
_cell_angle_beta 90.00
_cell_angle_gamma 90.00
loop_
_atom_site_label
_atom_site_type_symbol
_atom_site_fract_x
_atom_site_fract_y
_atom_site_fract_z
Fe1 Fe 0.0000 0.0000 0.0000
Ge1 Ge 0.5000 0.5000 0.5000
As1 As 0.0000 0.0000 0.5000
# Distance to the lowest polymorph of the same formula = 444 meV/atom
# Theoretical density = 6.03 g/cm3
# E_form = 0.490 eV/atom

Entry 3:
# PBE Y3UPa2N6, optimized geometry
data_Y3UPa2N6
_chemical_formula_sum 'Y6 U2 Pa4 N12'
_symmetry_space_group_name_H-M 'C 1 2/m 1'
_symmetry_Int_Tables_number 12
_symmetry_space_group_name_Hall '-C 2y'
_cell_length_a 6.0171
_cell_length_b 10.4167
_cell_length_c 6.0354
_cell_angle_alpha 90.00
_cell_angle_beta 109.42
_cell_angle_gamma 90.00
loop_
_atom_site_label
_atom_site_type_symbol
_atom_site_fract_x
_atom_site_fract_y
_atom_site_fract_z
Y1 Y 0.0000 0.0000 0.0000
Y2 Y 0.0000 0.3324 0.0000
U1 U 0.0000 0.5000 0.5000
Pa1 Pa 0.0000 0.1666 0.5000
N1 N 0.2427 0.3360 0.7364
N2 N 0.2489 0.5000 0.2636
# Theoretical density = 9.78 g/cm3
# E_form (uncorrected) = -154.1 kJ/mol of atoms

Entry 4:
# PBE CaLa3Te, optimized geometry
data_CaLa3Te
_chemical_formula_sum 'Ca1 La3 Te1'
_symmetry_space_group_name_H-M 'P m -3 m'
_symmetry_Int_Tables_number 221
_symmetry_space_group_name_Hall '-P 4 2 3'
_cell_length_a 6.0774
_cell_length_b 6.0774
_cell_length_c 6.0774
_cell_angle_alpha 90.00
_cell_angle_beta 90.00
_cell_angle_gamma 90.00
loop_
_atom_site_label
_atom_site_type_symbol
_atom_site_fract_x
_atom_site_fract_y
_atom_site_fract_z
Ca1 Ca 0.0000 0.0000 0.0000
La1 La 0.0000 0.5000 0.5000
Te1 Te 0.5000 0.5000 0.5000
# Distance to the lowest polymorph of the same formula = 0 meV/atom
# Theoretical density = 4.32 g/cm3
# E_form (uncorrected) = -29.3 kJ/mol of atoms

Entry 5:
# PBE SrMnTe2, optimized geometry
data_SrMnTe2
_chemical_formula_sum 'Sr4 Mn4 Te8'
_symmetry_space_group_name_H-M 'I -4 2 d'
_symmetry_Int_Tables_number 122
_symmetry_space_group_name_Hall 'I -4 2bw'
_cell_length_a 7.8441
_cell_length_b 7.8441
_cell_length_c 7.4953
_cell_angle_alpha 90.00
_cell_angle_beta 90.00
_cell_angle_gamma 90.00
loop_
_atom_site_label
_atom_site_type_symbol
_atom_site_fract_x
_atom_site_fract_y
_atom_site_fract_z
Sr1 Sr 0.0000 0.0000 0.0000
Mn1 Mn 0.0000 0.0000 0.5000
Te1 Te 0.1566 0.7500 0.6250
# Distance to the lowest polymorph of the same formula = 404 meV/atom
# Theoretical density = 5.73 g/cm3
# E_form (uncorrected) = -40.9 kJ/mol of atoms

Entry 6:
# PBE Pr2ErSe, optimized geometry
data_Pr2ErSe
_chemical_formula_sum 'Pr6 Er3 Se3'
_symmetry_space_group_name_H-M 'R -3 m'
_symmetry_Int_Tables_number 166
_symmetry_space_group_name_Hall '-R 3 2"'
_cell_length_a 3.9318
_cell_length_b 3.9318
_cell_length_c 29.1494
_cell_angle_alpha 90.00
_cell_angle_beta 90.00
_cell_angle_gamma 120.00
loop_
_atom_site_label
_atom_site_type_symbol
_atom_site_fract_x
_atom_site_fract_y
_atom_site_fract_z
Pr1 Pr 0.0000 0.0000 0.2337
Er1 Er 0.0000 0.0000 0.0000
Se1 Se 0.0000 0.0000 0.5000
# Theoretical density = 6.74 g/cm3
# E_form (uncorrected) = -71.9 kJ/mol of atoms

Entry 7:
# PBE KY2Tc, optimized geometry
data_KY2Tc
_chemical_formula_sum 'K2 Y4 Tc2'
_symmetry_space_group_name_H-M 'I m m m'
_symmetry_Int_Tables_number 71
_symmetry_space_group_name_Hall '-I 2 2'
_cell_length_a 4.5536
_cell_length_b 5.9006
_cell_length_c 7.9400
_cell_angle_alpha 90.00
_cell_angle_beta 90.00
_cell_angle_gamma 90.00
loop_
_atom_site_label
_atom_site_type_symbol
_atom_site_fract_x
_atom_site_fract_y
_atom_site_fract_z
K1 K 0.0000 0.0000 0.0000
Y1 Y 0.0000 0.5000 0.2141
Tc1 Tc 0.0000 0.0000 0.5000
# Distance to the lowest polymorph of the same formula = 468 meV/atom
# Theoretical density = 4.90 g/cm3
# E_form = 0.591 eV/atom

Entry 8:
# PBE TlPN2, optimized geometry
data_TlPN2
_chemical_formula_sum 'Tl4 P4 N8'
_symmetry_space_group_name_H-M 'I -4 2 d'
_symmetry_Int_Tables_number 122
_symmetry_space_group_name_Hall 'I -4 2bw'
_cell_length_a 5.3273
_cell_length_b 5.3273
_cell_length_c 7.4755
_cell_angle_alpha 90.00
_cell_angle_beta 90.00
_cell_angle_gamma 90.00
loop_
_atom_site_label
_atom_site_type_symbol
_atom_site_fract_x
_atom_site_fract_y
_atom_site_fract_z
Tl1 Tl 0.0000 0.0000 0.0000
P1 P 0.0000 0.0000 0.5000
N1 N 0.0454 0.7500 0.6250
# Distance to the lowest polymorph of the same formula = 0 meV/atom
# Theoretical density = 8.25 g/cm3
# E_form (uncorrected) = -4.2 kJ/mol of atoms

Entry 9:
# PBE Dy3Ni9Ge2, optimized geometry
data_Dy3Ni9Ge2
_chemical_formula_sum 'Dy6 Ni18 Ge4'
_symmetry_space_group_name_H-M 'I m m m'
_symmetry_Int_Tables_number 71
_symmetry_space_group_name_Hall '-I 2 2'
_cell_length_a 3.9803
_cell_length_b 8.9054
_cell_length_c 11.8644
_cell_angle_alpha 90.00
_cell_angle_beta 90.00
_cell_angle_gamma 90.00
loop_
_atom_site_label
_atom_site_type_symbol
_atom_site_fract_x
_atom_site_fract_y
_atom_site_fract_z
Dy1 Dy 0.0000 0.0000 0.0000
Dy2 Dy 0.0000 0.0000 0.3073
Ni1 Ni 0.0000 0.2781 0.1180
Ni2 Ni 0.0000 0.3566 0.3218
Ni3 Ni 0.0000 0.5000 0.0000
Ge1 Ge 0.0000 0.2237 0.5000
# Theoretical density = 9.17 g/cm3
# E_form = -0.396 eV/atom

Entry 10:
# PBE Tb3NdS6, optimized geometry
data_Tb3NdS6
_chemical_formula_sum 'Tb6 Nd2 S12'
_symmetry_space_group_name_H-M 'P 1 21/m 1'
_symmetry_Int_Tables_number 11
_symmetry_space_group_name_Hall '-P 2yb'
_cell_length_a 11.1232
_cell_length_b 4.0108
_cell_length_c 11.4077
_cell_angle_alpha 90.00
_cell_angle_beta 108.60
_cell_angle_gamma 90.00
loop_
_atom_site_label
_atom_site_type_symbol
_atom_site_fract_x
_atom_site_fract_y
_atom_site_fract_z
Tb1 Tb 0.0619 0.2500 0.1680
Tb2 Tb 0.1807 0.7500 0.5026
Tb3 Tb 0.3390 0.2500 0.9142
Nd1 Nd 0.4526 0.2500 0.3071
S1 S 0.0223 0.2500 0.3885
S2 S 0.1033 0.2500 0.9393
S3 S 0.2388 0.7500 0.2738
S4 S 0.3056 0.7500 0.7511
S5 S 0.3839 0.2500 0.5371
S6 S 0.4175 0.7500 0.0957
# Theoretical density = 5.60 g/cm3
# E_form (uncorrected) = -201.3 kJ/mol of atoms

Entry 11:
# PBE GdTmGePd, optimized geometry
data_GdTmGePd
_chemical_formula_sum 'Gd4 Tm4 Ge4 Pd4'
_symmetry_space_group_name_H-M 'F -4 3 m'
_symmetry_Int_Tables_number 216
_symmetry_space_group_name_Hall 'F -4 2 3'
_cell_length_a 7.0718
_cell_length_b 7.0718
_cell_length_c 7.0718
_cell_angle_alpha 90.00
_cell_angle_beta 90.00
_cell_angle_gamma 90.00
loop_
_atom_site_label
_atom_site_type_symbol
_atom_site_fract_x
_atom_site_fract_y
_atom_site_fract_z
Gd1 Gd 0.0000 0.0000 0.0000
Tm1 Tm 0.0000 0.0000 0.5000
Ge1 Ge 0.2500 0.2500 0.7500
Pd1 Pd 0.2500 0.2500 0.2500
# Theoretical density = 9.49 g/cm3
# E_form = -0.807 eV/atom

> What is the formula in the third record?

Y3UPa2N6